[1]
4
Lattice="-2.001 1.916 -1.208 -2.824 0.110 1.071 1.009 7.325 6.169" Properties=species:S:1:pos:R:3 comment="GGA-PBE ErGa2W, optimized geometry" total_magnetization_mub_per_cell=0.0 formation_enthalpy_0k_ev_per_atom=0.114 pbc="T T T"
Ga -1.014 2.185 1.365
Ga -2.802 7.167 4.668
Er -1.908 4.676 3.016
W 0.000 0.000 0.000

[2]
4
Lattice="3.268 0.000 0.000 0.000 3.266 0.000 0.000 0.000 9.666" Properties=species:S:1:pos:R:3 comment="GGA-PBE TcTePb2, optimized geometry" total_magnetization_mub_per_cell=0.0 raw_formation_energy_ev_per_fu=1.9 pbc="T T T"
Pb 0.000 0.000 4.235
Pb 0.000 0.000 0.598
Te 1.634 1.633 7.249
Tc 1.634 1.633 2.416

[3]
6
Lattice="0.000 4.105 4.105 4.105 0.000 4.105 4.105 4.105 0.000" Properties=species:S:1:pos:R:3 comment="GGA-PBE KLi4Be, optimized geometry" total_magnetization_mub_per_cell=0.0 formation_enthalpy_0k_ev_per_atom=0.427 pbc="T T T"
Be 6.158 6.158 6.158
Li 3.104 5.106 5.106
Li 5.106 5.106 3.104
Li 5.106 3.104 5.106
Li 3.104 3.104 3.104
K 0.000 0.000 0.000